Material: La2NiO4
Method: DFT, PBE+U
State: optimized geometry

Cell: 5.6185 5.6185 12.3980 Å, 90.00 90.00 90.00°
Closest atoms and distances in Å follow each position.
Atoms (fractional coordinates):
O  0.0490  0.0490  0.1793  1 Ni 2.26, 3 La 2.33-2.52
O  0.2500  0.2500  0.9733  2 Ni 2.01
O  0.9510  0.9510  0.8207  1 Ni 2.26, 3 La 2.33-2.52
O  0.5490  0.9510  0.3207  1 Ni 2.26, 3 La 2.33-2.52
O  0.7500  0.7500  0.5267  2 Ni 2.01
O  0.9510  0.5490  0.3207  1 Ni 2.26, 3 La 2.33-2.52
O  0.4510  0.0490  0.6793  1 Ni 2.26, 3 La 2.33-2.52
O  0.2500  0.7500  0.5000  2 Ni 1.99
O  0.2500  0.7500  0.0000  2 Ni 1.99
O  0.5490  0.5490  0.8207  1 Ni 2.26, 3 La 2.33-2.52
O  0.4510  0.4510  0.1793  1 Ni 2.26, 3 La 2.33-2.52
O  0.7500  0.7500  0.0267  2 Ni 2.01
O  0.2500  0.2500  0.4733  2 Ni 2.01
O  0.7500  0.2500  0.0000  2 Ni 1.99
O  0.0490  0.4510  0.6793  1 Ni 2.26, 3 La 2.33-2.52
O  0.7500  0.2500  0.5000  2 Ni 1.99
La  0.5133  0.5133  0.3629  4 O 2.33-2.52
La  0.0133  0.4867  0.1371  4 O 2.33-2.52
La  0.9867  0.5133  0.8629  4 O 2.33-2.52
La  0.4867  0.0133  0.1371  4 O 2.33-2.52
La  0.0133  0.0133  0.6371  4 O 2.33-2.52
La  0.4867  0.4867  0.6371  4 O 2.33-2.52
La  0.5133  0.9867  0.8629  4 O 2.33-2.52
La  0.9867  0.9867  0.3629  4 O 2.33-2.52
Ni  0.5000  0.0000  0.5000  4 O 1.99-2.01
Ni  0.0000  0.5000  0.5000  4 O 1.99-2.01
Ni  0.5000  0.5000  0.0000  4 O 1.99-2.01
Ni  0.0000  0.0000  0.0000  4 O 1.99-2.01

- polymorph energy (0 for the lowest one) (eV/atom) = 0.000
- total DFT energy (no corrections) (eV per atom) = -7.334